No. 1
## U3AsP2 (PBE-GGA)

Data for an optimized crystal structure of U3AsP2.

Summary:
Formation enthalpy at 0 K: -371 meV/atom
Relative energy among the computed polymorphs: 0.497 eV/atom

abc: 5.116 7.465 7.465
angles: 114.51 90.00 90.00
Each line ends with the local moment (μB).
Sites, in units of the cell vectors:
U  0.250  0.859  0.141  0.48
P  0.500  0.777  0.777  -0.02
P  0.000  0.223  0.223  -0.02
U  0.750  0.161  0.516  1.00
P  0.500  0.223  0.223  -0.02
P  0.000  0.777  0.777  -0.02
U  0.250  0.516  0.161  1.00
As  0.250  0.263  0.737  -0.02
U  0.250  0.839  0.484  1.00
U  0.750  0.141  0.859  0.48
As  0.750  0.737  0.263  -0.02
U  0.750  0.484  0.839  1.00

=====

No. 2
## Fe2SiPt (PBE-GGA)

Data for an optimized crystal structure of Fe2SiPt.

Summary:
Energy relative to the elements, uncorrected: -274 meV/atom

abc: 3.643 2.722 5.434
angles: 75.64 90.00 90.00
Each line ends with the local moment (μB).
Sites, in units of the cell vectors:
Fe  0.500  0.318  0.236  2.65
Fe  0.000  0.951  0.976  1.94
Pt  0.000  0.690  0.495  0.13
Si  0.500  0.541  0.793  -0.07

=====

No. 3
## TbPaCSe2 (PBE-GGA)

Data for an optimized crystal structure of TbPaCSe2.

Summary:
Energy relative to the elements, uncorrected: -1266 meV/atom

abc: 3.989 3.989 14.595
angles: 90.00 90.00 90.00
Sites, in units of the cell vectors:
Tb  0.000  0.500  0.877
C  0.500  0.500  0.500
Se  0.500  0.000  0.910
Pa  0.000  0.500  0.419
Se  0.000  0.500  0.090
Tb  0.500  0.000  0.123
C  0.000  0.000  0.500
Se  0.000  0.500  0.691
Se  0.500  0.000  0.309
Pa  0.500  0.000  0.581

=====

No. 4
## Cd2SeCl (PBE-GGA)

Data for an optimized crystal structure of Cd2SeCl.

Summary:
Energy relative to the elements, uncorrected: -199 meV/atom
Relative energy among the computed polymorphs: 0.312 eV/atom

abc: 3.473 3.473 9.147
angles: 90.00 90.00 108.43
Sites, in units of the cell vectors:
Se  0.500  0.500  0.809
Cl  0.000  0.000  0.435
Cd  0.000  0.000  0.000
Cd  0.500  0.500  0.256

=====

No. 5
## Sm2Mg3Pb2 (PBE-GGA)

Data for an optimized crystal structure of Sm2Mg3Pb2.

Summary:
Formation enthalpy at 0 K: -288 meV/atom

abc: 4.618 6.140 7.799
angles: 110.05 90.00 112.09
Sites, in units of the cell vectors:
Mg  0.394  0.788  0.569
Sm  0.143  0.287  0.784
Mg  0.500  0.000  0.000
Pb  0.156  0.313  0.225
Pb  0.844  0.687  0.775
Mg  0.606  0.212  0.431
Sm  0.857  0.713  0.216

=====

No. 6
## Y2TePd (PBE-GGA)

Data for an optimized crystal structure of Y2TePd.

Summary:
Energy relative to the elements, uncorrected: -928 meV/atom

abc: 3.744 3.744 7.056
angles: 90.00 90.00 90.00
Each line ends with the local moment (μB).
Sites, in units of the cell vectors:
Pd  0.500  0.500  0.000  0.01
Y  0.000  0.000  0.232  0.14
Y  0.000  0.000  0.768  0.14
Te  0.500  0.500  0.500  -0.01

=====

No. 7
## TbPr3SmHo (PBE-GGA)

Data for an optimized crystal structure of TbPr3SmHo.

Summary:
Formation enthalpy at 0 K: 18 meV/atom

abc: 5.152 8.163 10.290
angles: 90.00 90.00 108.39
Sites, in units of the cell vectors:
Sm  0.000  0.000  0.500
Pr  0.665  0.331  0.499
Pr  0.335  0.669  0.999
Pr  0.166  0.332  0.750
Pr  0.665  0.331  0.001
Sm  0.000  0.000  0.000
Tb  0.835  0.670  0.750
Tb  0.165  0.330  0.250
Ho  0.501  0.002  0.250
Pr  0.834  0.668  0.250
Pr  0.335  0.669  0.501
Ho  0.499  0.998  0.750

=====

No. 8
## Nd2Sm5DyTm (PBE-GGA)

Data for an optimized crystal structure of Nd2Sm5DyTm.

Summary:
Formation enthalpy at 0 K: 277 meV/atom

abc: 8.618 8.618 10.218
angles: 114.94 114.94 90.00
Sites, in units of the cell vectors:
Sm  0.859  0.926  0.285
Tm  0.250  0.750  0.500
Sm  0.359  0.859  0.285
Nd  0.880  0.620  0.000
Sm  0.926  0.426  0.285
Sm  0.141  0.074  0.715
Sm  0.641  0.141  0.715
Tm  0.750  0.250  0.500
Dy  0.750  0.750  0.500
Sm  0.426  0.359  0.285
Sm  0.000  0.000  0.000
Sm  0.574  0.641  0.715
Nd  0.120  0.380  0.000
Nd  0.620  0.120  0.000
Dy  0.250  0.250  0.500
Nd  0.380  0.880  0.000
Sm  0.074  0.574  0.715
Sm  0.500  0.500  0.000

=====

No. 9
## Ge3Pt (PBE-GGA)

Data for an optimized crystal structure of Ge3Pt.

Summary:
Formation enthalpy at 0 K: -24 meV/atom
Relative energy among the computed polymorphs: 0.007 eV/atom

abc: 3.862 4.889 5.057
angles: 118.91 112.45 90.00
Sites, in units of the cell vectors:
Pt  0.000  0.078  0.000
Ge  0.698  0.033  0.397
Ge  0.302  0.637  0.603
Ge  0.500  0.419  0.000

=====

No. 10
## CsAlSn2 (PBE-GGA)

Data for an optimized crystal structure of CsAlSn2.

Summary:
Formation enthalpy at 0 K: -39 meV/atom

abc: 4.646 4.646 8.151
angles: 73.44 73.44 60.00
Sites, in units of the cell vectors:
Cs  0.500  0.500  0.500
Sn  0.712  0.712  0.864
Al  0.000  0.000  0.000
Sn  0.288  0.288  0.136

=====

No. 11
## LiTbZrFe (PBE-GGA)

Data for an optimized crystal structure of LiTbZrFe.

Summary:
Formation enthalpy at 0 K: 74 meV/atom

abc: 4.704 4.704 4.704
angles: 60.00 60.00 60.00
Sites, in units of the cell vectors:
Fe  0.500  0.500  0.500
Tb  0.750  0.750  0.750
Zr  0.250  0.250  0.250
Li  0.000  0.000  0.000

=====

No. 12
## Ba3Ga4Ag (PBE-GGA)

Data for an optimized crystal structure of Ba3Ga4Ag.

Summary:
Formation enthalpy at 0 K: -343 meV/atom

abc: 6.416 6.186 12.544
angles: 90.00 90.00 90.00
Sites, in units of the cell vectors:
Ba  0.814  0.500  0.750
Ba  0.455  0.500  0.500
Ga  0.958  0.757  0.500
Ba  0.545  0.000  0.000
Ba  0.186  0.000  0.750
Ba  0.814  0.500  0.250
Ba  0.186  0.000  0.250
Ag  0.315  0.000  0.500
Ga  0.042  0.257  0.000
Ga  0.314  0.500  0.116
Ga  0.958  0.243  0.500
Ga  0.686  0.000  0.384
Ag  0.685  0.500  0.000
Ga  0.042  0.743  0.000
Ga  0.686  0.000  0.616
Ga  0.314  0.500  0.884

=====

Computed total DFT energy (no corrections) (hartree per atom) in order:
-0.316; -0.271; -0.269; -0.073; -0.124; -0.229; -0.172; -0.162; -0.184; -0.117; -0.214; -0.108
Computed magnetization (μB/atom) in order:
0.408; 1.142; 0.000; 0.000; 0.000; 0.123; 0.000; 0.000; 0.000; 0.000; 0.000; 0.000